[1]
YCo2Ge2 at its PBEsol-relaxed geometry, computed with SCAN.

Cell: 3.901 3.901 5.708 Å, 109.98 109.98 90.00°
Positions (direct):
Y (0.000, 0.000, 0.000)
Ge (0.372, 0.372, 0.745)
Ge (0.628, 0.628, 0.255)
Co (0.250, 0.750, 0.500)
Co (0.750, 0.250, 0.500)

Space group: I4/mmm (139)
DFT formation energy in meV per atom: -637
D(E_F) in states/eV/f.u.: 1.81

[2]
YCo4Ge at its PBEsol-relaxed geometry, computed with SCAN.

Cell: 3.925 4.843 4.843 Å, 119.52 90.00 90.00°
Last column: magnetic moment on the atom in μB.
Positions (direct):
Y (0.000, 0.000, 0.000)  -0.28
Ge (0.500, 0.500, 0.500)  -0.02
Co (0.000, 0.676, 0.324)  1.54
Co (0.000, 0.324, 0.676)  1.54
Co (0.500, 0.500, 0.000)  1.44
Co (0.500, 0.000, 0.500)  1.44

Space group: Cmmm (65)
DFT formation energy in meV per atom: -216
D(E_F) in states/eV/f.u.: 5.98

[3]
Y3CoGe at its PBEsol-relaxed geometry, computed with SCAN.

Cell: 4.982 4.982 4.982 Å, 90.00 90.00 90.00°
Positions (direct):
Y (0.000, 0.500, 0.000)
Y (0.000, 0.000, 0.500)
Y (0.500, 0.000, 0.000)
Ge (0.500, 0.500, 0.500)
Co (0.000, 0.000, 0.000)

Space group: Pm-3m (221)
DFT formation energy in meV per atom: -152
D(E_F) in states/eV/f.u.: 3.84